A relaxed HoAl3Au2 crystal. Source: Alexandria, functional PBE.

Cell lengths 4.1928, 8.6798, 10.1378 Å; angles 105.02, 90.00, 103.98 degrees
With the nearest neighbours (Å) after each atom.
Fractional positions:
Al 0.5000 0.0000 0.5000  4 Au 2.57-2.80, 4 Al 2.74
Al 0.6254 0.2508 0.1973  4 Au 2.63-2.65, 3 Al 2.70-2.92
Au 0.3549 0.7099 0.5364  7 Al 2.49-2.76
Al 0.7874 0.5749 0.6193  4 Au 2.49-2.63
Au 0.6451 0.2901 0.4636  7 Al 2.49-2.76
Al 0.2126 0.4251 0.3807  4 Au 2.49-2.63
Ho 0.1575 0.3149 0.7059  6 Au 3.19-3.34, 7 Al 3.24-3.55
Ho 0.8425 0.6851 0.2941  6 Au 3.19-3.34, 7 Al 3.24-3.55
Au 0.1981 0.3962 0.1205  6 Al 2.58-2.65
Au 0.4720 0.9440 0.2155  5 Al 2.55-2.80
Al 0.9587 0.9174 0.6419  4 Au 2.64-2.76, 3 Al 2.74-2.83
Ho 0.0000 0.0000 0.0000  6 Au 3.15-3.23, 6 Al 3.26-3.51
Al 0.3315 0.6631 0.0408  4 Au 2.55-2.62, 1 Al 2.70
Al 0.3746 0.7492 0.8027  4 Au 2.63-2.65, 3 Al 2.70-2.92
Au 0.8019 0.6038 0.8795  6 Al 2.58-2.65
Au 0.5280 0.0560 0.7845  5 Al 2.55-2.80
Al 0.6685 0.3369 0.9592  4 Au 2.55-2.62, 1 Al 2.70
Al 0.0413 0.0826 0.3581  4 Au 2.64-2.76, 3 Al 2.74-2.83

Output
Total magnetization ... 0.00 μB per cell
Density of states at the Fermi level ... 2.0 states/eV/f.u.
Energy of formation from the pure elements ... -0.61 eV/atom

A relaxed Ho3Al4Au2 crystal. Source: Alexandria, functional PBE.

Cell lengths 4.5366, 5.7966, 8.4006 Å; angles 71.53, 74.33, 66.96 degrees
With the nearest neighbours (Å) after each atom.
Fractional positions:
Ho 0.6759 0.3017 0.3465  4 Au 3.06-3.25, 8 Al 3.09-3.39
Al 0.2641 0.3980 0.0738  1 Au 2.63, 2 Al 2.67
Al 0.7359 0.6020 0.9262  1 Au 2.63, 2 Al 2.67
Ho 0.0000 0.0000 0.0000  8 Al 3.00-3.26, 4 Au 3.10
Au 0.5985 0.0724 0.7307  3 Al 2.62-2.63
Al 0.0247 0.3117 0.6390  2 Au 2.62, 1 Al 2.63
Au 0.4015 0.9276 0.2693  3 Al 2.62-2.63
Al 0.9753 0.6883 0.3610  2 Au 2.62, 1 Al 2.63
Ho 0.3241 0.6983 0.6535  4 Au 3.06-3.25, 8 Al 3.09-3.39

Output
Total magnetization ... 0.00 μB per cell
Density of states at the Fermi level ... 4.3 states/eV/f.u.
Energy of formation from the pure elements ... -0.68 eV/atom

A relaxed HoAl5Au7 crystal. Source: Alexandria, functional PBE.

Cell lengths 5.5459, 7.0461, 7.0461 Å; angles 82.56, 66.82, 66.82 degrees
With the nearest neighbours (Å) after each atom.
Fractional positions:
Au 0.2674 0.2326 0.2326  4 Al 2.64, 4 Au 2.86-2.91
Au 0.6679 0.3321 0.3321  4 Al 2.78, 2 Au 2.91, 1 Ho 2.95
Au 0.3113 0.6887 0.6887  6 Al 2.80-2.84, 1 Ho 2.86
Al 0.4975 0.0040 0.4906  7 Au 2.63-2.85, 3 Al 2.72-2.83
Au 0.9861 0.3460 0.6818  5 Al 2.67-2.85, 1 Au 2.98
Al 0.7410 0.7590 0.7590  6 Au 2.68-2.84, 4 Al 2.78
Au 0.5174 0.7930 0.1722  5 Al 2.63-2.79, 1 Au 2.86
Al 0.0078 0.4906 0.0040  7 Au 2.63-2.85, 3 Al 2.72-2.83
Al 0.4975 0.4906 0.0040  7 Au 2.63-2.85, 3 Al 2.72-2.83
Au 0.5174 0.1722 0.7930  5 Al 2.63-2.79, 1 Au 2.86
Ho 0.9946 0.0054 0.0054  4 Au 2.86-3.09
Au 0.9861 0.6818 0.3460  5 Al 2.67-2.85, 1 Au 2.98
Al 0.0078 0.0040 0.4906  7 Au 2.63-2.85, 3 Al 2.72-2.83

Output
Total magnetization ... 0.00 μB per cell
Density of states at the Fermi level ... 3.5 states/eV/f.u.
Energy of formation from the pure elements ... -0.48 eV/atom

A relaxed Ho2Al5Au4 crystal. Source: Alexandria, functional PBE.

Cell lengths 5.4101, 5.3321, 9.1605 Å; angles 81.38, 72.82, 59.51 degrees
With the nearest neighbours (Å) after each atom.
Fractional positions:
Al 0.5000 0.0000 0.0000  4 Al 2.67, 4 Au 2.76
Al 0.0000 0.5000 0.0000  4 Al 2.67-2.71, 4 Au 2.79
Au 0.2047 0.3265 0.2641  5 Al 2.59-2.79
Au 0.7953 0.6735 0.7359  5 Al 2.59-2.79
Ho 0.8974 0.0000 0.2052  6 Au 3.14, 6 Al 3.21-3.25
Al 0.5000 0.5000 0.0000  4 Al 2.67-2.71, 4 Au 2.79
Ho 0.1026 0.0000 0.7948  6 Au 3.14, 6 Al 3.21-3.25
Au 0.5312 0.6735 0.2641  5 Al 2.59-2.79
Au 0.4688 0.3265 0.7359  5 Al 2.59-2.79
Al 0.2500 0.5000 0.5000  4 Au 2.59, 2 Al 2.71
Al 0.7500 0.5000 0.5000  4 Au 2.59, 2 Al 2.71

Output
Total magnetization ... 0.00 μB per cell
Density of states at the Fermi level ... 4.0 states/eV/f.u.
Energy of formation from the pure elements ... -0.58 eV/atom